1.
Entry from Alexandria: a geometry-optimized LaCrCo2 structure (PBE).

As for the crystal system: monoclinic. The value obtained for the volume is 68 Å³/cell. The formation energy comes out at 368 meV/atom.

```
data_LaCrCo2
_chemical_formula_sum 'La1 Cr1 Co2'
_cell_length_a 3.218
_cell_length_b 4.075
_cell_length_c 5.373
_cell_angle_alpha 90.00
_cell_angle_beta 103.92
_cell_angle_gamma 90.00
_symmetry_space_group_name_H-M 'P 1'
_symmetry_Int_Tables_number 1
loop_
_symmetry_equiv_pos_as_xyz
'x,y,z'
loop_
_atom_site_label
_atom_site_type_symbol
_atom_site_fract_x
_atom_site_fract_y
_atom_site_fract_z
La1 La 0.000 0.000 0.000
Cr1 Cr 0.225 0.500 0.543
Co1 Co 0.562 0.000 0.509
Co2 Co 0.612 0.500 0.250
```


2.
Entry from Alexandria: a geometry-optimized SrAl2GaPt4 structure (PBE).

As for the crystal system: trigonal. The value obtained for the volume is 149 Å³/cell. The formation energy comes out at -857 meV/atom.

```
data_SrAl2GaPt4
_chemical_formula_sum 'Sr1 Al2 Ga1 Pt4'
_cell_length_a 9.632
_cell_length_b 9.632
_cell_length_c 9.632
_cell_angle_alpha 25.82
_cell_angle_beta 25.82
_cell_angle_gamma 25.82
_symmetry_space_group_name_H-M 'P 1'
_symmetry_Int_Tables_number 1
loop_
_symmetry_equiv_pos_as_xyz
'x,y,z'
loop_
_atom_site_label
_atom_site_type_symbol
_atom_site_fract_x
_atom_site_fract_y
_atom_site_fract_z
Sr1 Sr 0.000 0.000 0.000
Al1 Al 0.239 0.239 0.239
Al2 Al 0.761 0.761 0.761
Ga1 Ga 0.500 0.500 0.500
Pt1 Pt 0.138 0.138 0.138
Pt2 Pt 0.410 0.410 0.410
Pt3 Pt 0.590 0.590 0.590
Pt4 Pt 0.862 0.862 0.862
```


3.
Entry from Alexandria: a geometry-optimized Sr2AlCd2 structure (PBE).

As for the crystal system: tetragonal. The value obtained for the volume is 342 Å³/cell. The formation energy comes out at 56 meV/atom.

```
data_Sr2AlCd2
_chemical_formula_sum 'Sr4 Al2 Cd4'
_cell_length_a 9.125
_cell_length_b 9.125
_cell_length_c 4.109
_cell_angle_alpha 90.00
_cell_angle_beta 90.00
_cell_angle_gamma 90.00
_symmetry_space_group_name_H-M 'P 1'
_symmetry_Int_Tables_number 1
loop_
_symmetry_equiv_pos_as_xyz
'x,y,z'
loop_
_atom_site_label
_atom_site_type_symbol
_atom_site_fract_x
_atom_site_fract_y
_atom_site_fract_z
Sr1 Sr 0.168 0.332 0.000
Sr2 Sr 0.332 0.832 0.000
Sr3 Sr 0.668 0.168 0.000
Sr4 Sr 0.832 0.668 0.000
Al1 Al 0.000 0.000 0.000
Al2 Al 0.500 0.500 0.000
Cd1 Cd 0.127 0.627 0.500
Cd2 Cd 0.373 0.127 0.500
Cd3 Cd 0.627 0.873 0.500
Cd4 Cd 0.873 0.373 0.500
```


4.
Entry from Alexandria: a geometry-optimized AcMgRh structure (PBE).

As for the crystal system: trigonal. The value obtained for the volume is 78 Å³/cell. The formation energy comes out at -405 meV/atom.

```
data_AcMgRh
_chemical_formula_sum 'Ac1 Mg1 Rh1'
_cell_length_a 4.535
_cell_length_b 4.535
_cell_length_c 4.366
_cell_angle_alpha 90.00
_cell_angle_beta 90.00
_cell_angle_gamma 120.00
_symmetry_space_group_name_H-M 'P 1'
_symmetry_Int_Tables_number 1
loop_
_symmetry_equiv_pos_as_xyz
'x,y,z'
loop_
_atom_site_label
_atom_site_type_symbol
_atom_site_fract_x
_atom_site_fract_y
_atom_site_fract_z
Ac1 Ac 0.000 0.000 0.000
Mg1 Mg 0.667 0.333 0.500
Rh1 Rh 0.333 0.667 0.497
```


5.
Entry from Alexandria: a geometry-optimized InTeOs2 structure (PBE).

Its formation energy without anion corrections is 438 kJ/mol of formula units. As for the crystal system: cubic. The value obtained for the volume is 74 Å³/cell.

```
data_InTeOs2
_chemical_formula_sum 'In1 Te1 Os2'
_cell_length_a 4.703
_cell_length_b 4.703
_cell_length_c 4.703
_cell_angle_alpha 60.00
_cell_angle_beta 60.00
_cell_angle_gamma 60.00
_symmetry_space_group_name_H-M 'P 1'
_symmetry_Int_Tables_number 1
loop_
_symmetry_equiv_pos_as_xyz
'x,y,z'
loop_
_atom_site_label
_atom_site_type_symbol
_atom_site_fract_x
_atom_site_fract_y
_atom_site_fract_z
In1 In 0.000 0.000 0.000
Te1 Te 0.250 0.250 0.250
Os1 Os 0.500 0.500 0.500
Os2 Os 0.750 0.750 0.750
```


6.
Entry from Alexandria: a geometry-optimized Li2PbSe structure (PBE).

Its formation energy without anion corrections is -93 kJ/mol of formula units. As for the crystal system: cubic. The value obtained for the volume is 94 Å³/cell.

```
data_Li2PbSe
_chemical_formula_sum 'Li2 Pb1 Se1'
_cell_length_a 5.100
_cell_length_b 5.100
_cell_length_c 5.100
_cell_angle_alpha 60.00
_cell_angle_beta 60.00
_cell_angle_gamma 60.00
_symmetry_space_group_name_H-M 'P 1'
_symmetry_Int_Tables_number 1
loop_
_symmetry_equiv_pos_as_xyz
'x,y,z'
loop_
_atom_site_label
_atom_site_type_symbol
_atom_site_fract_x
_atom_site_fract_y
_atom_site_fract_z
Li1 Li 0.000 0.000 0.000
Li2 Li 0.250 0.250 0.250
Pb1 Pb 0.750 0.750 0.750
Se1 Se 0.500 0.500 0.500
```


7.
Entry from Alexandria: a geometry-optimized PuTlAu structure (PBE).

As for the crystal system: hexagonal. The value obtained for the volume is 160 Å³/cell. The formation energy comes out at -115 meV/atom.

```
data_PuTlAu
_chemical_formula_sum 'Pu2 Tl2 Au2'
_cell_length_a 5.465
_cell_length_b 5.465
_cell_length_c 6.191
_cell_angle_alpha 90.00
_cell_angle_beta 90.00
_cell_angle_gamma 120.00
_symmetry_space_group_name_H-M 'P 1'
_symmetry_Int_Tables_number 1
loop_
_symmetry_equiv_pos_as_xyz
'x,y,z'
loop_
_atom_site_label
_atom_site_type_symbol
_atom_site_fract_x
_atom_site_fract_y
_atom_site_fract_z
Pu1 Pu 0.333 0.667 0.250
Pu2 Pu 0.667 0.333 0.750
Tl1 Tl 0.000 0.000 0.250
Tl2 Tl 0.000 0.000 0.750
Au1 Au 0.333 0.667 0.750
Au2 Au 0.667 0.333 0.250
```


8.
Entry from Alexandria: a geometry-optimized LiCoBrCl2 structure (PBE).

Its formation energy without anion corrections is -320 kJ/mol of formula units. As for the crystal system: tetragonal. The value obtained for the volume is 117 Å³/cell.

```
data_LiCoBrCl2
_chemical_formula_sum 'Li1 Co1 Br1 Cl2'
_cell_length_a 4.623
_cell_length_b 4.623
_cell_length_c 5.469
_cell_angle_alpha 90.00
_cell_angle_beta 90.00
_cell_angle_gamma 90.00
_symmetry_space_group_name_H-M 'P 1'
_symmetry_Int_Tables_number 1
loop_
_symmetry_equiv_pos_as_xyz
'x,y,z'
loop_
_atom_site_label
_atom_site_type_symbol
_atom_site_fract_x
_atom_site_fract_y
_atom_site_fract_z
Li1 Li 0.000 0.000 0.000
Co1 Co 0.500 0.500 0.500
Br1 Br 0.500 0.500 0.000
Cl1 Cl 0.000 0.500 0.500
Cl2 Cl 0.500 0.000 0.500
```


9.
Entry from Alexandria: a geometry-optimized TbCe2Ga6 structure (PBE).

As for the crystal system: orthorhombic. The value obtained for the volume is 205 Å³/cell. The formation energy comes out at -395 meV/atom.

```
data_TbCe2Ga6
_chemical_formula_sum 'Tb1 Ce2 Ga6'
_cell_length_a 7.738
_cell_length_b 7.738
_cell_length_c 7.738
_cell_angle_alpha 146.58
_cell_angle_beta 125.47
_cell_angle_gamma 65.48
_symmetry_space_group_name_H-M 'P 1'
_symmetry_Int_Tables_number 1
loop_
_symmetry_equiv_pos_as_xyz
'x,y,z'
loop_
_atom_site_label
_atom_site_type_symbol
_atom_site_fract_x
_atom_site_fract_y
_atom_site_fract_z
Tb1 Tb 0.000 0.000 0.000
Ce1 Ce 0.393 0.893 0.500
Ce2 Ce 0.607 0.107 0.500
Ga1 Ga 0.003 0.309 0.694
Ga2 Ga 0.291 0.500 0.791
Ga3 Ga 0.384 0.691 0.694
Ga4 Ga 0.616 0.309 0.306
Ga5 Ga 0.709 0.500 0.209
Ga6 Ga 0.997 0.691 0.306
```


10.
Entry from Alexandria: a geometry-optimized Pr2Ho6Tm structure (PBE).

As for the crystal system: monoclinic. The value obtained for the volume is 583 Å³/cell. The formation energy comes out at 116 meV/atom.

```
data_Pr2Ho6Tm
_chemical_formula_sum 'Pr4 Ho12 Tm2'
_cell_length_a 9.592
_cell_length_b 9.592
_cell_length_c 6.569
_cell_angle_alpha 99.35
_cell_angle_beta 99.35
_cell_angle_gamma 96.35
_symmetry_space_group_name_H-M 'P 1'
_symmetry_Int_Tables_number 1
loop_
_symmetry_equiv_pos_as_xyz
'x,y,z'
loop_
_atom_site_label
_atom_site_type_symbol
_atom_site_fract_x
_atom_site_fract_y
_atom_site_fract_z
Pr1 Pr 0.118 0.170 0.375
Pr2 Pr 0.170 0.118 0.875
Pr3 Pr 0.830 0.882 0.125
Pr4 Pr 0.882 0.830 0.625
Ho1 Ho 0.040 0.442 0.730
Ho2 Ho 0.154 0.775 0.996
Ho3 Ho 0.225 0.846 0.504
Ho4 Ho 0.277 0.461 0.187
Ho5 Ho 0.442 0.040 0.230
Ho6 Ho 0.461 0.277 0.687
Ho7 Ho 0.539 0.723 0.313
Ho8 Ho 0.558 0.960 0.770
Ho9 Ho 0.723 0.539 0.813
Ho10 Ho 0.775 0.154 0.496
Ho11 Ho 0.846 0.225 0.004
Ho12 Ho 0.960 0.558 0.270
Tm1 Tm 0.384 0.616 0.750
Tm2 Tm 0.616 0.384 0.250
```


11.
Entry from Alexandria: a geometry-optimized PrTlNiRh structure (PBE).

As for the crystal system: cubic. The value obtained for the volume is 79 Å³/cell. The formation energy comes out at -212 meV/atom.

```
data_PrTlNiRh
_chemical_formula_sum 'Pr1 Tl1 Ni1 Rh1'
_cell_length_a 4.826
_cell_length_b 4.826
_cell_length_c 4.826
_cell_angle_alpha 60.00
_cell_angle_beta 60.00
_cell_angle_gamma 60.00
_symmetry_space_group_name_H-M 'P 1'
_symmetry_Int_Tables_number 1
loop_
_symmetry_equiv_pos_as_xyz
'x,y,z'
loop_
_atom_site_label
_atom_site_type_symbol
_atom_site_fract_x
_atom_site_fract_y
_atom_site_fract_z
Pr1 Pr 0.000 0.000 0.000
Tl1 Tl 0.500 0.500 0.500
Ni1 Ni 0.750 0.750 0.750
Rh1 Rh 0.250 0.250 0.250
```


12.
Entry from Alexandria: a geometry-optimized UWC2 structure (PBE).

As for the crystal system: trigonal. The value obtained for the volume is 50 Å³/cell. The formation energy comes out at -9 meV/atom.

```
data_UWC2
_chemical_formula_sum 'U1 W1 C2'
_cell_length_a 6.140
_cell_length_b 6.140
_cell_length_c 6.140
_cell_angle_alpha 29.61
_cell_angle_beta 29.61
_cell_angle_gamma 29.61
_symmetry_space_group_name_H-M 'P 1'
_symmetry_Int_Tables_number 1
loop_
_symmetry_equiv_pos_as_xyz
'x,y,z'
loop_
_atom_site_label
_atom_site_type_symbol
_atom_site_fract_x
_atom_site_fract_y
_atom_site_fract_z
U1 U 0.000 0.000 0.000
W1 W 0.825 0.825 0.825
C1 C 0.232 0.232 0.232
C2 C 0.423 0.423 0.423
```